[1]
Material: AlFe2AuC
Method: DFT, PBE
State: optimized geometry

a b c (Å): 3.839 4.337 3.839
angles (deg): 90.00 90.00 90.00
Last column: magnetic moment on the atom in μB.
Atoms (fractional coordinates):
C (0.000, 0.000, 0.000)  -0.08
Au (0.000, 0.500, 0.000)  0.02
Fe (0.000, 0.000, 0.500)  1.96
Fe (0.500, 0.000, 0.000)  1.98
Al (0.500, 0.500, 0.500)  -0.03

## Properties
**ΔE_f**: 0.263 eV per atom
**E**: -6.371 eV/atom

---

[2]
Material: Al2HgAuC
Method: DFT, PBE
State: optimized geometry

a b c (Å): 4.996 5.264 4.996
angles (deg): 90.00 90.00 90.00
Last column: magnetic moment on the atom in μB.
Atoms (fractional coordinates):
C (0.500, 0.500, 0.500)  0.95
Au (0.000, 0.500, 0.000)  0.06
Hg (0.000, 0.000, 0.000)  0.03
Al (0.000, 0.000, 0.500)  0.01
Al (0.500, 0.000, 0.000)  0.02

## Properties
**ΔE_f**: 1.884 eV per atom
**E**: -2.173 eV/atom

---

[3]
Material: MnAlAuC2
Method: DFT, PBE
State: optimized geometry

a b c (Å): 3.919 5.176 3.919
angles (deg): 90.00 90.00 90.00
Last column: magnetic moment on the atom in μB.
Atoms (fractional coordinates):
C (0.000, 0.000, 0.500)  -0.07
C (0.500, 0.000, 0.000)  -0.11
Mn (0.000, 0.500, 0.000)  3.42
Au (0.000, 0.000, 0.000)  -0.03
Al (0.500, 0.500, 0.500)  -0.07

## Properties
**ΔE_f**: 2.168 eV per atom
**E**: -4.760 eV/atom

---

[4]
Material: NaAlAu2C
Method: DFT, PBE
State: optimized geometry

a b c (Å): 4.905 3.712 4.905
angles (deg): 90.00 90.00 90.00
Atoms (fractional coordinates):
Na (0.500, 0.500, 0.500)
C (0.000, 0.000, 0.000)
Au (0.000, 0.000, 0.500)
Au (0.500, 0.000, 0.000)
Al (0.000, 0.500, 0.000)

## Properties
**ΔE_f**: 0.418 eV per atom
**E**: -3.750 eV/atom

---

no.,N(E_F) (states/eV/cell),magnetic moment (μB per formula unit)
1,2.7,3.756
2,3.5,2.281
3,1.7,3.010
4,1.8,0.000